Record 1
## InGe2BiP (PBE-GGA)

Data for a relaxed structure of InGe2BiP.

## Properties
DFT total energy	-3.777	eV per atom

Cell lengths 4.8978, 4.8978, 5.5308 Å; angles 90.00, 90.00, 90.00 degrees
Space group P4/mmm (No. 123)
Symmetry-distinct sites (fractional):
In  0.0000  0.0000  0.0000 x1
Ge  0.0000  0.5000  0.5000 x2
Bi  0.5000  0.5000  0.0000 x1
P  0.5000  0.5000  0.5000 x1

---

Record 2
## InSi2GeBi (PBE-GGA)

Data for a relaxed structure of InSi2GeBi.

## Properties
DFT total energy	-3.055	eV per atom

Cell lengths 5.4002, 5.4002, 5.7206 Å; angles 90.00, 90.00, 90.00 degrees
Space group P4/mmm (No. 123)
Symmetry-distinct sites (fractional):
In  0.0000  0.0000  0.0000 x1
Si  0.0000  0.5000  0.5000 x2
Ge  0.5000  0.5000  0.0000 x1
Bi  0.0000  0.0000  0.5000 x1

---

Record 3
## InSnGeBi (PBE-GGA)

Data for a relaxed structure of InSnGeBi.

## Properties
DFT total energy	-3.643	eV per atom

Cell lengths 7.5305, 7.5305, 7.5305 Å; angles 90.00, 90.00, 90.00 degrees
Space group F-43m (No. 216)
Symmetry-distinct sites (fractional):
In  0.0000  0.0000  0.0000 x4
Sn  0.2500  0.2500  0.7500 x4
Ge  0.0000  0.0000  0.5000 x4
Bi  0.2500  0.2500  0.2500 x4

---

Record 4
## TlInGeBi (PBE-GGA)

Data for a relaxed structure of TlInGeBi.

## Properties
DFT total energy	-3.229	eV per atom

Cell lengths 7.6517, 7.6517, 7.6517 Å; angles 90.00, 90.00, 90.00 degrees
Space group F-43m (No. 216)
Symmetry-distinct sites (fractional):
Tl  0.0000  0.0000  0.0000 x4
In  0.2500  0.2500  0.2500 x4
Ge  0.2500  0.2500  0.7500 x4
Bi  0.0000  0.0000  0.5000 x4

---

Record 5
## GeBiIr3 (PBE-GGA)

Data for a relaxed structure of GeBiIr3.

## Properties
DFT total energy	-6.189	eV per atom
distance to the lowest polymorph of the same formula	0.00	kcal/mol of atoms

Cell lengths 4.6441, 4.6441, 4.6441 Å; angles 90.00, 90.00, 90.00 degrees
Space group Pm-3m (No. 221)
Symmetry-distinct sites (fractional):
Ge  0.0000  0.0000  0.0000 x1
Bi  0.5000  0.5000  0.5000 x1
Ir  0.0000  0.0000  0.5000 x3

---

Record 6
## GeBi3Ir (PBE-GGA)

Data for a relaxed structure of GeBi3Ir.

## Properties
DFT total energy	-4.376	eV per atom
distance to the lowest polymorph of the same formula	0.00	kcal/mol of atoms

Cell lengths 5.3691, 5.3691, 5.3691 Å; angles 90.00, 90.00, 90.00 degrees
Space group Pm-3m (No. 221)
Symmetry-distinct sites (fractional):
Ge  0.0000  0.0000  0.0000 x1
Bi  0.0000  0.5000  0.5000 x3
Ir  0.5000  0.5000  0.5000 x1

---

Record 7
## GeBi3Ir (PBE-GGA)

Data for a relaxed structure of GeBi3Ir.

## Properties
DFT total energy	-3.705	eV per atom
distance to the lowest polymorph of the same formula	15.48	kcal/mol of atoms

Cell lengths 5.3325, 5.3325, 5.3325 Å; angles 90.00, 90.00, 90.00 degrees
Space group Pm-3m (No. 221)
Symmetry-distinct sites (fractional):
Ge  0.0000  0.0000  0.0000 x1
Bi  0.0000  0.0000  0.5000 x3
Ir  0.5000  0.5000  0.5000 x1

---

Record 8
## GeBi4Ir2 (PBE-GGA)

Data for a relaxed structure of GeBi4Ir2.

## Properties
DFT total energy	-4.760	eV per atom

Cell lengths 5.4202, 5.4202, 13.7094 Å; angles 90.00, 90.00, 90.00 degrees
Space group I4/mmm (No. 139)
Symmetry-distinct sites (fractional):
Ge  0.0000  0.0000  0.0000 x2
Bi  0.0000  0.0000  0.2185 x4
Bi  0.0000  0.5000  0.0000 x4
Ir  0.0000  0.0000  0.4045 x4

---

Record 9
## GeBiIr3 (PBE-GGA)

Data for a relaxed structure of GeBiIr3.

## Properties
DFT total energy	-4.991	eV per atom
distance to the lowest polymorph of the same formula	27.63	kcal/mol of atoms

Cell lengths 5.0020, 5.0020, 5.0020 Å; angles 90.00, 90.00, 90.00 degrees
Space group Pm-3m (No. 221)
Symmetry-distinct sites (fractional):
Ge  0.0000  0.0000  0.0000 x1
Bi  0.5000  0.5000  0.5000 x1
Ir  0.0000  0.5000  0.5000 x3

---

Record 10
## GeBiIr2 (PBE-GGA)

Data for a relaxed structure of GeBiIr2.

## Properties
DFT total energy	-6.104	eV per atom
distance to the lowest polymorph of the same formula	1.58	kcal/mol of atoms

Cell lengths 6.5939, 6.5939, 6.5939 Å; angles 90.00, 90.00, 90.00 degrees
Space group Fm-3m (No. 225)
Symmetry-distinct sites (fractional):
Ge  0.0000  0.0000  0.0000 x4
Bi  0.0000  0.0000  0.5000 x4
Ir  0.2500  0.2500  0.2500 x8

---

Record 11
## GeBiIr2 (PBE-GGA)

Data for a relaxed structure of GeBiIr2.

## Properties
DFT total energy	-6.172	eV per atom
distance to the lowest polymorph of the same formula	0.00	kcal/mol of atoms

Cell lengths 5.6357, 5.6357, 12.3405 Å; angles 90.00, 90.00, 90.00 degrees
Space group I-42d (No. 122)
Symmetry-distinct sites (fractional):
Ge  0.0000  0.0000  0.0000 x4
Bi  0.0000  0.0000  0.5000 x4
Ir  0.2060  0.2500  0.1250 x8

---

Record 12
## Ge2BiIr (PBE-GGA)

Data for a relaxed structure of Ge2BiIr.

## Properties
DFT total energy	-5.315	eV per atom

Cell lengths 6.0396, 6.0396, 11.9174 Å; angles 90.00, 90.00, 90.00 degrees
Space group I-42d (No. 122)
Symmetry-distinct sites (fractional):
Ge  0.1806  0.2500  0.1250 x8
Bi  0.0000  0.0000  0.5000 x4
Ir  0.0000  0.0000  0.0000 x4

---

Record 13
## K2GeBiIr (PBE-GGA)

Data for a relaxed structure of K2GeBiIr.

## Properties
DFT total energy	-2.878	eV per atom

Cell lengths 6.5172, 6.5172, 5.2412 Å; angles 90.00, 90.00, 90.00 degrees
Space group P4/mmm (No. 123)
Symmetry-distinct sites (fractional):
K  0.0000  0.5000  0.0000 x2
Ge  0.0000  0.0000  0.0000 x1
Bi  0.0000  0.0000  0.5000 x1
Ir  0.5000  0.5000  0.5000 x1

---

Record 14
## La2GeBiIr (PBE-GGA)

Data for a relaxed structure of La2GeBiIr.

## Properties
DFT total energy	-6.162	eV per atom

Cell lengths 5.6924, 5.6924, 4.6949 Å; angles 90.00, 90.00, 90.00 degrees
Space group P4/mmm (No. 123)
Symmetry-distinct sites (fractional):
La  0.0000  0.5000  0.0000 x2
Ge  0.0000  0.0000  0.5000 x1
Bi  0.5000  0.5000  0.5000 x1
Ir  0.0000  0.0000  0.0000 x1

---

Record 15
## La2Ge3BiIr4 (PBE-GGA)

Data for a relaxed structure of La2Ge3BiIr4.

## Properties
DFT total energy	-6.949	eV per atom

Cell lengths 4.3427, 4.3427, 10.7394 Å; angles 90.00, 90.00, 90.00 degrees
Space group P-4m2 (No. 115)
Symmetry-distinct sites (fractional):
La  0.0000  0.5000  0.2419 x2
Ge  0.0000  0.5000  0.8771 x2
Ge  0.5000  0.5000  0.5000 x1
Bi  0.0000  0.0000  0.5000 x1
Ir  0.0000  0.0000  0.0000 x1
Ir  0.0000  0.5000  0.6493 x2
Ir  0.5000  0.5000  0.0000 x1

---

Record 16
## Ge2BiIrPd (PBE-GGA)

Data for a relaxed structure of Ge2BiIrPd.

## Properties
DFT total energy	-3.877	eV per atom

Cell lengths 5.3889, 5.3889, 4.9754 Å; angles 90.00, 90.00, 90.00 degrees
Space group P4/mmm (No. 123)
Symmetry-distinct sites (fractional):
Ge  0.0000  0.5000  0.0000 x2
Bi  0.0000  0.0000  0.0000 x1
Ir  0.0000  0.0000  0.5000 x1
Pd  0.5000  0.5000  0.5000 x1

---

Record 17
## GeBiIrPd2 (PBE-GGA)

Data for a relaxed structure of GeBiIrPd2.

## Properties
DFT total energy	-4.659	eV per atom

Cell lengths 4.9796, 4.9796, 5.0287 Å; angles 90.00, 90.00, 90.00 degrees
Space group P4/mmm (No. 123)
Symmetry-distinct sites (fractional):
Ge  0.0000  0.0000  0.0000 x1
Bi  0.5000  0.5000  0.0000 x1
Ir  0.5000  0.5000  0.5000 x1
Pd  0.0000  0.5000  0.5000 x2

---

Record 18
## TiGeBi2Ir (PBE-GGA)

Data for a relaxed structure of TiGeBi2Ir.

## Properties
DFT total energy	-4.884	eV per atom

Cell lengths 5.4525, 5.4525, 4.5265 Å; angles 90.00, 90.00, 90.00 degrees
Space group P4/mmm (No. 123)
Symmetry-distinct sites (fractional):
Ti  0.0000  0.0000  0.0000 x1
Ge  0.5000  0.5000  0.5000 x1
Bi  0.0000  0.5000  0.5000 x2
Ir  0.5000  0.5000  0.0000 x1

---

Record 19
## K2GeBi (PBE-GGA)

Data for a relaxed structure of K2GeBi.

## Properties
DFT total energy	-2.650	eV per atom
distance to the lowest polymorph of the same formula	2.86	kcal/mol of atoms

Cell lengths 13.1163, 13.1163, 5.5381 Å; angles 90.00, 90.00, 90.00 degrees
Space group I-42d (No. 122)
Symmetry-distinct sites (fractional):
K  0.0015  0.2500  0.1250 x8
Ge  0.0000  0.0000  0.0000 x4
Bi  0.0000  0.0000  0.5000 x4

---

Record 20
## KGe2Bi (PBE-GGA)

Data for a relaxed structure of KGe2Bi.

## Properties
DFT total energy	-3.373	eV per atom

Cell lengths 8.4931, 8.4931, 6.8327 Å; angles 90.00, 90.00, 90.00 degrees
Space group I-42d (No. 122)
Symmetry-distinct sites (fractional):
K  0.0000  0.0000  0.0000 x4
Ge  0.2033  0.2500  0.6250 x8
Bi  0.0000  0.0000  0.5000 x4